[1]
## ZrCdOF2 (PBE)

Data for a relaxed ZrCdOF2 crystal.

abc: 4.435 4.435 4.084
angles: 90.00 90.00 90.00
Positions (direct):
Zr: 0.000 0.000 0.000
Cd: 0.500 0.500 0.500
O: 0.000 0.000 0.500
F: 0.000 0.500 0.000
F: 0.500 0.000 0.000

formation energy without anion corrections = -2385 meV per atom
calculated density = 5.33 g/cm³
D(E_F) = 0.30 states/eV/atom
size of the total moment = 0.06 μB/cell
ΔE to the lowest computed polymorph = 0.00 eV per formula unit


[2]
## LiBi4Pd4 (PBE)

Data for a relaxed LiBi4Pd4 crystal.

abc: 7.152 7.152 7.152
angles: 133.21 133.21 68.32
Positions (direct):
Li: 0.000 0.000 0.000
Bi: 0.067 0.067 0.459
Bi: 0.391 0.933 0.000
Bi: 0.609 0.609 0.541
Bi: 0.933 0.391 0.000
Pd: 0.214 0.615 0.000
Pd: 0.385 0.385 0.600
Pd: 0.615 0.214 0.000
Pd: 0.786 0.786 0.400

uncorrected energy = -4.444 eV/atom
calculated density = 11.03 g/cm³
D(E_F) = 0.48 states/eV/atom
size of the total moment = 0.00 μB/cell


[3]
## Ac4La15Dy (PBE)

Data for a relaxed Ac4La15Dy crystal.

abc: 5.336 5.336 26.660
angles: 90.00 90.00 90.00
Positions (direct):
Ac: 0.000 0.000 0.101
Ac: 0.000 0.000 0.303
Ac: 0.000 0.000 0.697
Ac: 0.000 0.000 0.899
La: 0.000 0.500 0.000
La: 0.000 0.500 0.202
La: 0.000 0.500 0.404
La: 0.000 0.500 0.596
La: 0.000 0.500 0.798
La: 0.500 0.000 0.000
La: 0.500 0.000 0.202
La: 0.500 0.000 0.404
La: 0.500 0.000 0.596
La: 0.500 0.000 0.798
La: 0.500 0.500 0.101
La: 0.500 0.500 0.305
La: 0.500 0.500 0.500
La: 0.500 0.500 0.695
La: 0.500 0.500 0.899
Dy: 0.000 0.000 0.500

uncorrected energy = -4.730 eV/atom
calculated density = 6.90 g/cm³
D(E_F) = 2.01 states/eV/atom
size of the total moment = 0.00 μB/cell


[4]
## Pa2Hg3I9 (PBE)

Data for a relaxed Pa2Hg3I9 crystal.

abc: 8.894 8.894 21.394
angles: 90.00 90.00 120.00
Positions (direct):
Pa: 0.333 0.667 0.156
Pa: 0.333 0.667 0.344
Pa: 0.667 0.333 0.656
Pa: 0.667 0.333 0.844
Hg: 0.000 0.000 0.250
Hg: 0.000 0.000 0.750
Hg: 0.333 0.667 0.587
Hg: 0.333 0.667 0.913
Hg: 0.667 0.333 0.087
Hg: 0.667 0.333 0.413
I: 0.026 0.513 0.250
I: 0.172 0.344 0.088
I: 0.172 0.344 0.412
I: 0.172 0.828 0.088
I: 0.172 0.828 0.412
I: 0.344 0.172 0.588
I: 0.344 0.172 0.912
I: 0.487 0.513 0.250
I: 0.487 0.974 0.250
I: 0.513 0.026 0.750
I: 0.513 0.487 0.750
I: 0.656 0.828 0.088
I: 0.656 0.828 0.412
I: 0.828 0.172 0.588
I: 0.828 0.172 0.912
I: 0.828 0.656 0.588
I: 0.828 0.656 0.912
I: 0.974 0.487 0.750

formation energy without anion corrections = -718 meV per atom
calculated density = 5.00 g/cm³
D(E_F) = 0.09 states/eV/atom
size of the total moment = 2.07 μB/cell


[5]
## FeAs2W (PBE)

Data for a relaxed FeAs2W crystal.

abc: 4.431 4.431 4.431
angles: 60.00 60.00 60.00
Positions (direct):
Fe: 0.000 0.000 0.000
As: 0.250 0.250 0.250
As: 0.500 0.500 0.500
W: 0.750 0.750 0.750

calculated density = 10.51 g/cm³
D(E_F) = 0.65 states/eV/atom
size of the total moment = 2.36 μB/cell
ΔE to the lowest computed polymorph = 2.09 eV per formula unit


[6]
## AcNdEuY (PBE)

Data for a relaxed AcNdEuY crystal.

abc: 6.003 6.003 6.003
angles: 60.00 60.00 60.00
Positions (direct):
Ac: 0.000 0.000 0.000
Nd: 0.750 0.750 0.750
Eu: 0.500 0.500 0.500
Y: 0.250 0.250 0.250

uncorrected energy = -6.261 eV/atom
calculated density = 6.65 g/cm³
D(E_F) = 1.86 states/eV/atom
size of the total moment = 7.63 μB/cell


[7]
## ScCoAs2 (PBE)

Data for a relaxed ScCoAs2 crystal.

abc: 8.201 8.201 8.201
angles: 147.98 147.98 45.91
Positions (direct):
Sc: 0.000 0.000 0.000
Sc: 0.750 0.250 0.500
Co: 0.250 0.750 0.500
Co: 0.500 0.500 0.000
As: 0.217 0.625 0.092
As: 0.375 0.467 0.592
As: 0.533 0.125 0.908
As: 0.875 0.783 0.408

uncorrected energy = -5.994 eV/atom
calculated density = 5.45 g/cm³
D(E_F) = 0.06 states/eV/atom
size of the total moment = 0.00 μB/cell


[8]
## BeGeS2 (PBE)

Data for a relaxed BeGeS2 crystal.

abc: 6.269 6.269 6.269
angles: 125.23 125.23 81.16
Positions (direct):
Be: 0.000 0.000 0.000
Be: 0.750 0.250 0.500
Ge: 0.250 0.750 0.500
Ge: 0.500 0.500 0.000
S: 0.049 0.625 0.924
S: 0.375 0.299 0.424
S: 0.701 0.125 0.076
S: 0.875 0.951 0.576

formation energy without anion corrections = -405 meV per atom
calculated density = 3.06 g/cm³
D(E_F) = 0.00 states/eV/atom
size of the total moment = 0.00 μB/cell
ΔE to the lowest computed polymorph = 0.00 eV per formula unit


[9]
## SrRh2Br (PBE)

Data for a relaxed SrRh2Br crystal.

abc: 6.112 6.112 6.112
angles: 141.72 141.72 55.25
Positions (direct):
Sr: 0.000 0.000 0.000
Rh: 0.250 0.750 0.500
Rh: 0.750 0.250 0.500
Br: 0.500 0.500 0.000

formation energy without anion corrections = 48 meV per atom
calculated density = 7.13 g/cm³
D(E_F) = 1.07 states/eV/atom
size of the total moment = 1.78 μB/cell
ΔE to the lowest computed polymorph = 1.21 eV per formula unit


[10]
## Nd4Al2CdAg (PBE)

Data for a relaxed Nd4Al2CdAg crystal.

abc: 9.278 9.278 9.278
angles: 33.46 33.46 33.46
Positions (direct):
Nd: 0.123 0.123 0.123
Nd: 0.373 0.373 0.373
Nd: 0.627 0.627 0.627
Nd: 0.877 0.877 0.877
Al: 0.248 0.248 0.248
Al: 0.752 0.752 0.752
Cd: 0.500 0.500 0.500
Ag: 0.000 0.000 0.000

uncorrected energy = -4.097 eV/atom
calculated density = 6.54 g/cm³
D(E_F) = 1.17 states/eV/atom
size of the total moment = 0.00 μB/cell


[11]
## Bi4PdAu5 (PBE)

Data for a relaxed Bi4PdAu5 crystal.

abc: 6.927 6.927 6.927
angles: 101.12 101.12 127.91
Positions (direct):
Bi: 0.058 0.291 0.349
Bi: 0.291 0.942 0.233
Bi: 0.709 0.058 0.767
Bi: 0.942 0.709 0.651
Pd: 0.778 0.778 0.000
Au: 0.252 0.252 0.000
Au: 0.258 0.590 0.826
Au: 0.432 0.258 0.668
Au: 0.590 0.764 0.332
Au: 0.764 0.432 0.174

uncorrected energy = -3.775 eV/atom
calculated density = 13.58 g/cm³
D(E_F) = 0.50 states/eV/atom
size of the total moment = 0.00 μB/cell


[12]
## NaCdGa2Cu (PBE)

Data for a relaxed NaCdGa2Cu crystal.

abc: 4.732 4.732 5.116
angles: 90.00 90.00 90.00
Positions (direct):
Na: 0.000 0.000 0.000
Cd: 0.500 0.500 0.000
Ga: 0.000 0.500 0.500
Ga: 0.500 0.000 0.500
Cu: 0.500 0.500 0.500

uncorrected energy = -2.421 eV/atom
calculated density = 4.91 g/cm³
D(E_F) = 0.32 states/eV/atom
size of the total moment = 0.00 μB/cell


size of the total moment of number 1 (ZrCdOF2)? 0.06 μB/cell


D(E_F) of number 10 (Nd4Al2CdAg)? 1.17 states/eV/atom